(1)
Material: Ba2PuTcO6
Method: DFT, PBE
State: relaxed

```
data_Ba2PuTcO6
_symmetry_space_group_name_H-M 'F m -3 m'
_symmetry_Int_Tables_number 225
_symmetry_space_group_name_Hall '-F 4 2 3'
_cell_length_a 8.4730
_cell_length_b 8.4730
_cell_length_c 8.4730
_cell_angle_alpha 90.00
_cell_angle_beta 90.00
_cell_angle_gamma 90.00
loop_
_atom_site_label
_atom_site_type_symbol
_atom_site_fract_x
_atom_site_fract_y
_atom_site_fract_z
_atom_site_occupancy
Ba1 Ba 0.2500 0.2500 0.2500 1
Pu1 Pu 0.0000 0.0000 0.0000 1
Tc1 Tc 0.0000 0.0000 0.5000 1
O1 O 0.0000 0.0000 0.2580 1
```

Values from the calculation:
Size of the total moment = 3.933 Bohr magnetons per cell
Formation energy from raw total energies = -2513 meV/atom
Fermi-level density of states = 10.7 states/eV per cell


(2)
Material: Ba2PuTc3O12
Method: DFT, PBE
State: relaxed

```
data_Ba2PuTc3O12
_symmetry_space_group_name_H-M 'R -3 m'
_symmetry_Int_Tables_number 166
_symmetry_space_group_name_Hall '-R 3 2"'
_cell_length_a 7.3035
_cell_length_b 7.3035
_cell_length_c 18.1764
_cell_angle_alpha 90.00
_cell_angle_beta 90.00
_cell_angle_gamma 120.00
loop_
_atom_site_label
_atom_site_type_symbol
_atom_site_fract_x
_atom_site_fract_y
_atom_site_fract_z
_atom_site_occupancy
Ba1 Ba 0.0000 0.0000 0.1448 1
Pu1 Pu 0.0000 0.0000 0.5000 1
Tc1 Tc 0.0000 0.5000 0.0000 1
O1 O 0.0299 0.5149 0.1103 1
O2 O 0.0844 0.5422 0.3407 1
```

Values from the calculation:
Size of the total moment = 13.394 Bohr magnetons per cell
Formation energy from raw total energies = -1974 meV/atom
Fermi-level density of states = 39.0 states/eV per cell


(3)
Material: BaPuTeO5
Method: DFT, PBE
State: relaxed

```
data_BaPuTeO5
_symmetry_space_group_name_H-M 'C 1 2/c 1'
_symmetry_Int_Tables_number 15
_cell_length_a 8.9120
_cell_length_b 10.9747
_cell_length_c 6.9085
_cell_angle_alpha 90.00
_cell_angle_beta 119.29
_cell_angle_gamma 90.00
loop_
_symmetry_equiv_pos_as_xyz
'x,y,z'
'-x,-y,-z'
'-x,y,-z+1/2'
'x,-y,z+1/2'
'x+1/2,y+1/2,z'
'-x+1/2,-y+1/2,-z'
'-x+1/2,y+1/2,-z+1/2'
'x+1/2,-y+1/2,z+1/2'
loop_
_atom_site_label
_atom_site_type_symbol
_atom_site_fract_x
_atom_site_fract_y
_atom_site_fract_z
_atom_site_occupancy
Ba1 Ba 0.0000 0.1030 0.2500 1
Pu1 Pu 0.2500 0.2500 0.0000 1
Te1 Te 0.0000 0.4401 0.2500 1
O1 O 0.0000 0.2951 0.7500 1
O2 O 0.1661 0.3190 0.2626 1
O3 O 0.1748 0.0873 0.0273 1
```

Values from the calculation:
Size of the total moment = 11.015 Bohr magnetons per cell
Formation energy from raw total energies = -2212 meV/atom
Fermi-level density of states = 14.3 states/eV per cell


(4)
Material: BaPu2TeO4
Method: DFT, PBE
State: relaxed

```
data_BaPu2TeO4
_symmetry_space_group_name_H-M 'P 4/m m m'
_symmetry_Int_Tables_number 123
_symmetry_space_group_name_Hall '-P 4 2'
_cell_length_a 3.9681
_cell_length_b 3.9681
_cell_length_c 9.7677
_cell_angle_alpha 90.00
_cell_angle_beta 90.00
_cell_angle_gamma 90.00
loop_
_atom_site_label
_atom_site_type_symbol
_atom_site_fract_x
_atom_site_fract_y
_atom_site_fract_z
_atom_site_occupancy
Ba1 Ba 0.0000 0.0000 0.0000 1
Pu1 Pu 0.5000 0.5000 0.2843 1
Te1 Te 0.0000 0.0000 0.5000 1
O1 O 0.0000 0.5000 0.1904 1
```

Values from the calculation:
Size of the total moment = 7.993 Bohr magnetons per cell
Formation energy from raw total energies = -2539 meV/atom
Fermi-level density of states = 10.6 states/eV per cell


(5)
Material: BaPu2TeO8
Method: DFT, PBE
State: relaxed

```
data_BaPu2TeO8
_symmetry_space_group_name_H-M 'P 1 2/m 1'
_symmetry_Int_Tables_number 10
_cell_length_a 5.2395
_cell_length_b 7.1174
_cell_length_c 5.2401
_cell_angle_alpha 90.00
_cell_angle_beta 92.46
_cell_angle_gamma 90.00
loop_
_symmetry_equiv_pos_as_xyz
'x,y,z'
'-x,-y,-z'
'-x,y,-z'
'x,-y,z'
loop_
_atom_site_label
_atom_site_type_symbol
_atom_site_fract_x
_atom_site_fract_y
_atom_site_fract_z
_atom_site_occupancy
Ba1 Ba 0.0000 0.0000 0.0000 1
Pu1 Pu 0.5000 0.2565 0.5000 1
Te1 Te 0.0000 0.5000 0.0000 1
O1 O 0.2118 0.2907 0.2134 1
O2 O 0.3087 0.5000 0.6925 1
O3 O 0.3409 0.0000 0.6606 1
```

Values from the calculation:
Size of the total moment = 6.000 Bohr magnetons per cell
Formation energy from raw total energies = -2244 meV/atom
Fermi-level density of states = 10.9 states/eV per cell


(6)
Material: Ba2PuTeO6
Method: DFT, PBE
State: relaxed

```
data_Ba2PuTeO6
_symmetry_space_group_name_H-M 'P 4/m m m'
_symmetry_Int_Tables_number 123
_symmetry_space_group_name_Hall '-P 4 2'
_cell_length_a 4.3816
_cell_length_b 4.3816
_cell_length_c 8.7600
_cell_angle_alpha 90.00
_cell_angle_beta 90.00
_cell_angle_gamma 90.00
loop_
_atom_site_label
_atom_site_type_symbol
_atom_site_fract_x
_atom_site_fract_y
_atom_site_fract_z
_atom_site_occupancy
Ba1 Ba 0.0000 0.0000 0.2423 1
Pu1 Pu 0.5000 0.5000 0.5000 1
Te1 Te 0.5000 0.5000 0.0000 1
O1 O 0.0000 0.5000 0.0000 1
O2 O 0.0000 0.5000 0.5000 1
O3 O 0.5000 0.5000 0.2446 1
```

Values from the calculation:
Size of the total moment = 4.041 Bohr magnetons per cell
Formation energy from raw total energies = -2358 meV/atom
Fermi-level density of states = 5.1 states/eV per cell


(7)
Material: BaPuTeO6
Method: DFT, PBE
State: relaxed

```
data_BaPuTeO6
_symmetry_space_group_name_H-M 'P 1'
_symmetry_Int_Tables_number 1
_cell_length_a 5.5836
_cell_length_b 5.8846
_cell_length_c 5.8911
_cell_angle_alpha 60.32
_cell_angle_beta 89.29
_cell_angle_gamma 89.74
loop_
_symmetry_equiv_pos_as_xyz
'x,y,z'
loop_
_atom_site_label
_atom_site_type_symbol
_atom_site_fract_x
_atom_site_fract_y
_atom_site_fract_z
_atom_site_occupancy
Ba1 Ba 0.0000 0.0000 0.0000 1
Pu1 Pu 0.4972 0.3167 0.3203 1
Te1 Te 0.4942 0.6284 0.6500 1
O1 O 0.2828 0.0582 0.5635 1
O2 O 0.2957 0.3789 0.9671 1
O3 O 0.3002 0.6271 0.3764 1
O4 O 0.6882 0.3538 0.6445 1
O5 O 0.6961 0.0064 0.3468 1
O6 O 0.7093 0.5706 0.0720 1
```

Values from the calculation:
Size of the total moment = 2.000 Bohr magnetons per cell
Formation energy from raw total energies = -2168 meV/atom
Fermi-level density of states = 4.5 states/eV per cell


(8)
Material: BaPuThO6
Method: DFT, PBE
State: relaxed

```
data_BaPuThO6
_symmetry_space_group_name_H-M 'P 42 n m'
_symmetry_Int_Tables_number 102
_cell_length_a 5.3892
_cell_length_b 5.3892
_cell_length_c 11.0466
_cell_angle_alpha 90.00
_cell_angle_beta 90.00
_cell_angle_gamma 90.00
loop_
_symmetry_equiv_pos_as_xyz
'x,y,z'
'-y+1/2,x+1/2,z+1/2'
'-x,-y,z'
'y+1/2,-x+1/2,z+1/2'
'-x+1/2,y+1/2,z+1/2'
'y,x,z'
'x+1/2,-y+1/2,z+1/2'
'-y,-x,z'
loop_
_atom_site_label
_atom_site_type_symbol
_atom_site_fract_x
_atom_site_fract_y
_atom_site_fract_z
_atom_site_occupancy
Ba1 Ba 0.0000 0.0000 0.0000 1
Pu1 Pu 0.0000 0.0000 0.3323 1
Th1 Th 0.0000 0.0000 0.6630 1
O1 O 0.1641 0.1641 0.4905 1
O2 O 0.2032 0.2032 0.1985 1
O3 O 0.2371 0.2371 0.8172 1
```

Values from the calculation:
Size of the total moment = 4.000 Bohr magnetons per cell
Formation energy from raw total energies = -2962 meV/atom
Fermi-level density of states = 12.0 states/eV per cell


(9)
Material: Ba3PuTi2O8
Method: DFT, PBE
State: relaxed

```
data_Ba3PuTi2O8
_symmetry_space_group_name_H-M 'P -3 m 1'
_symmetry_Int_Tables_number 164
_symmetry_space_group_name_Hall '-P 3 2"'
_cell_length_a 6.0972
_cell_length_b 6.0972
_cell_length_c 7.7701
_cell_angle_alpha 90.00
_cell_angle_beta 90.00
_cell_angle_gamma 120.00
loop_
_atom_site_label
_atom_site_type_symbol
_atom_site_fract_x
_atom_site_fract_y
_atom_site_fract_z
_atom_site_occupancy
Ba1 Ba 0.0000 0.0000 0.0000 1
Ba2 Ba 0.3333 0.6667 0.6638 1
Pu1 Pu 0.0000 0.0000 0.5000 1
Ti1 Ti 0.3333 0.6667 0.2100 1
O1 O 0.1711 0.3421 0.3059 1
O2 O 0.3333 0.6667 0.9787 1
```

Values from the calculation:
Size of the total moment = 5.998 Bohr magnetons per cell
Formation energy from raw total energies = -2880 meV/atom
Fermi-level density of states = 7.9 states/eV per cell